VASP calculation (PBE-GGA) on crystalline AlP2PbI at its relaxed geometry.

Unit cell a=4.7174 b=4.7174 c=5.7681 alpha=90.00 beta=90.00 gamma=90.00
Last column: nearest neighbours and their distance in Å.
Fractional positions:
Al 0.0000 0.0000 0.0000  4 P 2.36
P 0.0000 0.5000 0.0000  2 Al 2.36
P 0.5000 0.0000 0.0000  2 Al 2.36
Pb 0.5000 0.5000 0.5000  4 I 3.34, 8 P 3.73
I 0.0000 0.0000 0.5000  2 Al 2.88

- space group = No. 123
- uncorrected formation energy (eV/atom) = 0.323

---

VASP calculation (PBE-GGA) on crystalline AlRePI2 at its relaxed geometry.

Unit cell a=5.2513 b=5.2513 c=4.9469 alpha=90.00 beta=90.00 gamma=90.00
Last column: nearest neighbours and their distance in Å.
Fractional positions:
Al 0.0000 0.0000 0.0000  2 Re 2.47
Re 0.0000 0.0000 0.5000  2 Al 2.47, 4 I 2.63
P 0.5000 0.5000 0.0000  8 I 3.61, 4 Al 3.71
I 0.0000 0.5000 0.5000  2 Re 2.63
I 0.5000 0.0000 0.5000  2 Re 2.63

- space group = No. 123
- uncorrected formation energy (eV/atom) = 1.229

---

VASP calculation (PBE-GGA) on crystalline AlPRh2I at its relaxed geometry.

Unit cell a=4.5165 b=4.5165 c=4.8069 alpha=90.00 beta=90.00 gamma=90.00
Last column: nearest neighbours and their distance in Å.
Fractional positions:
Al 0.0000 0.0000 0.0000  2 P 2.40
P 0.0000 0.0000 0.5000  4 Rh 2.26, 2 Al 2.40
Rh 0.0000 0.5000 0.5000  2 P 2.26
Rh 0.5000 0.0000 0.5000  2 P 2.26
I 0.5000 0.5000 0.0000  4 Al 3.19, 8 Rh 3.30

- space group = No. 123
- uncorrected formation energy (eV/atom) = 0.236

---

VASP calculation (PBE-GGA) on crystalline AlSb2PI at its relaxed geometry.

Unit cell a=5.3054 b=5.3054 c=5.3729 alpha=90.00 beta=90.00 gamma=90.00
Last column: nearest neighbours and their distance in Å.
Fractional positions:
Al 0.0000 0.0000 0.0000  4 I 3.75, 8 Sb 3.78
Sb 0.0000 0.5000 0.5000  2 P 2.65
Sb 0.5000 0.0000 0.5000  2 P 2.65
P 0.5000 0.5000 0.5000  4 Sb 2.65, 2 I 2.69
I 0.5000 0.5000 0.0000  2 P 2.69

- energy above the lowest structure with this stoichiometry (meV per atom) = 0
- space group = No. 123
- uncorrected formation energy (eV/atom) = 0.665

---

VASP calculation (PBE-GGA) on crystalline AlSb2PI at its relaxed geometry.

Unit cell a=5.3628 b=5.3628 c=5.1632 alpha=90.00 beta=90.00 gamma=90.00
Last column: nearest neighbours and their distance in Å.
Fractional positions:
Al 0.0000 0.0000 0.0000  2 I 2.58, 4 Sb 2.68
Sb 0.0000 0.5000 0.0000  2 Al 2.68
Sb 0.5000 0.0000 0.0000  2 Al 2.68
P 0.5000 0.5000 0.5000  8 Sb 3.72, 4 I 3.79
I 0.0000 0.0000 0.5000  2 Al 2.58

- energy above the lowest structure with this stoichiometry (meV per atom) = 180
- space group = No. 123
- uncorrected formation energy (eV/atom) = 0.845

---

VASP calculation (PBE-GGA) on crystalline PaAlI at its relaxed geometry.

Unit cell a=3.8467 b=3.8467 c=12.1741 alpha=90.07 beta=90.07 gamma=90.00
Last column: nearest neighbours and their distance in Å.
Fractional positions:
Pa 0.2491 0.2491 0.2952  4 Al 3.15, 4 I 3.23
Pa 0.7509 0.7509 0.7048  4 Al 3.15, 4 I 3.23
Al 0.2500 0.7500 0.5000  4 Al 2.72
Al 0.7500 0.2500 0.5000  4 Al 2.72
I 0.2514 0.2514 0.8481  4 Pa 3.23
I 0.7486 0.7486 0.1519  4 Pa 3.23

- space group = No. 12
- uncorrected formation energy (eV/atom) = -0.104

---

VASP calculation (PBE-GGA) on crystalline Al3PbI at its relaxed geometry.

Unit cell a=5.6428 b=5.6428 c=5.6428 alpha=90.00 beta=90.00 gamma=90.00
Last column: nearest neighbours and their distance in Å.
Fractional positions:
Al 0.0000 0.0000 0.5000  2 Pb 2.82
Al 0.0000 0.5000 0.0000  2 Pb 2.82
Al 0.5000 0.0000 0.0000  2 Pb 2.82
Pb 0.0000 0.0000 0.0000  6 Al 2.82
I 0.5000 0.5000 0.5000  12 Al 3.99

- energy above the lowest structure with this stoichiometry (meV per atom) = 0
- space group = No. 221
- uncorrected formation energy (eV/atom) = 0.694

---

VASP calculation (PBE-GGA) on crystalline Al2Pb2I at its relaxed geometry.

Unit cell a=10.0168 b=10.0168 c=10.0168 alpha=157.52 beta=157.52 gamma=32.01
Last column: nearest neighbours and their distance in Å.
Fractional positions:
Al 0.2500 0.7500 0.5000  4 Al 2.76
Al 0.7500 0.2500 0.5000  4 Al 2.76
Pb 0.1210 0.1210 0.0000  4 Al 3.16
Pb 0.8790 0.8790 0.0000  4 Al 3.16
I 0.5000 0.5000 0.0000  8 Pb 3.61, 4 I 3.91

- space group = No. 139
- uncorrected formation energy (eV/atom) = 0.045

---

VASP calculation (PBE-GGA) on crystalline AlPbI3 at its relaxed geometry.

Unit cell a=5.6509 b=5.6509 c=5.6509 alpha=90.00 beta=90.00 gamma=90.00
Last column: nearest neighbours and their distance in Å.
Fractional positions:
Al 0.0000 0.0000 0.0000  6 I 2.83
Pb 0.5000 0.5000 0.5000  12 I 4.00
I 0.0000 0.0000 0.5000  2 Al 2.83
I 0.0000 0.5000 0.0000  2 Al 2.83
I 0.5000 0.0000 0.0000  2 Al 2.83

- energy above the lowest structure with this stoichiometry (meV per atom) = 3
- space group = No. 221
- uncorrected formation energy (eV/atom) = -0.116

---

VASP calculation (PBE-GGA) on crystalline Al2PbI2 at its relaxed geometry.

Unit cell a=10.2050 b=10.2050 c=10.2050 alpha=157.88 beta=157.88 gamma=31.48
Last column: nearest neighbours and their distance in Å.
Fractional positions:
Al 0.2500 0.7500 0.5000  4 Al 2.77
Al 0.7500 0.2500 0.5000  4 Al 2.77
Pb 0.0000 0.0000 0.0000  8 I 3.51, 4 Pb 3.92
I 0.3901 0.3901 0.0000  4 Al 3.38, 4 Pb 3.51
I 0.6099 0.6099 0.0000  4 Al 3.38, 4 Pb 3.51

- energy above the lowest structure with this stoichiometry (meV per atom) = 0
- space group = No. 139
- uncorrected formation energy (eV/atom) = 0.050

---

VASP calculation (PBE-GGA) on crystalline Al2PbI2 at its relaxed geometry.

Unit cell a=9.0777 b=9.0777 c=4.0219 alpha=90.00 beta=90.00 gamma=90.00
Last column: nearest neighbours and their distance in Å.
Fractional positions:
Al 0.1728 0.3272 0.0000  2 I 3.05
Al 0.3272 0.8272 0.0000  2 I 3.05
Al 0.6728 0.1728 0.0000  2 I 3.05
Al 0.8272 0.6728 0.0000  2 I 3.05
Pb 0.0000 0.0000 0.5000  4 I 3.47
Pb 0.5000 0.5000 0.5000  4 I 3.47
I 0.1482 0.6482 0.5000  2 Al 3.05
I 0.3518 0.1482 0.5000  2 Al 3.05
I 0.6482 0.8518 0.5000  2 Al 3.05
I 0.8518 0.3518 0.5000  2 Al 3.05

- energy above the lowest structure with this stoichiometry (meV per atom) = 226
- space group = No. 127
- uncorrected formation energy (eV/atom) = 0.276

---

VASP calculation (PBE-GGA) on crystalline AlPbI3 at its relaxed geometry.

Unit cell a=6.2964 b=6.2964 c=6.2964 alpha=90.00 beta=90.00 gamma=90.00
Last column: nearest neighbours and their distance in Å.
Fractional positions:
Al 0.0000 0.0000 0.0000  12 I 4.45
Pb 0.5000 0.5000 0.5000  6 I 3.15
I 0.0000 0.5000 0.5000  2 Pb 3.15
I 0.5000 0.0000 0.5000  2 Pb 3.15
I 0.5000 0.5000 0.0000  2 Pb 3.15

- energy above the lowest structure with this stoichiometry (meV per atom) = 0
- space group = No. 221
- uncorrected formation energy (eV/atom) = -0.119

---

VASP calculation (PBE-GGA) on crystalline AlPtPbI2 at its relaxed geometry.

Unit cell a=5.7237 b=5.7237 c=4.7496 alpha=90.00 beta=90.00 gamma=90.00
Last column: nearest neighbours and their distance in Å.
Fractional positions:
Al 0.0000 0.0000 0.0000  2 Pt 2.37
Pt 0.0000 0.0000 0.5000  2 Al 2.37
Pb 0.5000 0.5000 0.0000  8 I 3.72, 4 Al 4.05
I 0.0000 0.5000 0.5000  2 Pt 2.86
I 0.5000 0.0000 0.5000  2 Pt 2.86

- space group = No. 123
- uncorrected formation energy (eV/atom) = 0.078

---

VASP calculation (PBE-GGA) on crystalline Rb2AlPbI6 at its relaxed geometry.

Unit cell a=8.5953 b=8.5953 c=8.5953 alpha=119.88 beta=119.88 gamma=90.22
Last column: nearest neighbours and their distance in Å.
Fractional positions:
Rb 0.2500 0.7500 0.5000  12 I 4.30-4.31
Rb 0.7500 0.2500 0.5000  12 I 4.30-4.31
Al 0.0000 0.0000 0.0000  6 I 2.87-2.89
Pb 0.5000 0.5000 0.0000  6 I 3.20
I 0.2363 0.2363 0.0000  1 Al 2.87, 1 Pb 3.20
I 0.2369 0.2369 0.4739  1 Al 2.89, 1 Pb 3.20
I 0.2369 0.7631 0.0000  1 Al 2.89, 1 Pb 3.20
I 0.7631 0.2369 0.0000  1 Al 2.89, 1 Pb 3.20
I 0.7631 0.7631 0.5261  1 Al 2.89, 1 Pb 3.20
I 0.7637 0.7637 0.0000  1 Al 2.87, 1 Pb 3.20

- space group = No. 139
- uncorrected formation energy (eV/atom) = -0.872

---

VASP calculation (PBE-GGA) on crystalline AlPbS2I at its relaxed geometry.

Unit cell a=5.2920 b=5.2920 c=5.4013 alpha=90.00 beta=90.00 gamma=90.00
Last column: nearest neighbours and their distance in Å.
Fractional positions:
Al 0.0000 0.0000 0.0000  2 I 2.70
Pb 0.5000 0.5000 0.0000  4 Al 3.74, 8 S 3.78
S 0.0000 0.5000 0.5000  2 I 2.65
S 0.5000 0.0000 0.5000  2 I 2.65
I 0.0000 0.0000 0.5000  4 S 2.65, 2 Al 2.70

- space group = No. 123
- uncorrected formation energy (eV/atom) = 0.701

---

VASP calculation (PBE-GGA) on crystalline AlPb2SI at its relaxed geometry.

Unit cell a=5.5801 b=5.5801 c=5.2219 alpha=90.00 beta=90.00 gamma=90.00
Last column: nearest neighbours and their distance in Å.
Fractional positions:
Al 0.0000 0.0000 0.0000  2 I 2.61, 4 Pb 2.79
Pb 0.0000 0.5000 0.0000  2 Al 2.79
Pb 0.5000 0.0000 0.0000  2 Al 2.79
S 0.5000 0.5000 0.5000  8 Pb 3.82, 4 I 3.95
I 0.0000 0.0000 0.5000  2 Al 2.61

- space group = No. 123
- uncorrected formation energy (eV/atom) = 0.372

---

VASP calculation (PBE-GGA) on crystalline AlSbPbI2 at its relaxed geometry.

Unit cell a=6.2791 b=6.2791 c=6.0897 alpha=90.00 beta=90.00 gamma=90.00
Last column: nearest neighbours and their distance in Å.
Fractional positions:
Al 0.0000 0.0000 0.0000  8 I 4.37, 4 Sb 4.44
Sb 0.5000 0.5000 0.0000  2 Pb 3.04
Pb 0.5000 0.5000 0.5000  2 Sb 3.04, 4 I 3.14
I 0.0000 0.5000 0.5000  2 Pb 3.14
I 0.5000 0.0000 0.5000  2 Pb 3.14

- energy above the lowest structure with this stoichiometry (meV per atom) = 283
- space group = No. 123
- uncorrected formation energy (eV/atom) = 0.395

---

VASP calculation (PBE-GGA) on crystalline AlSbPbI2 at its relaxed geometry.

Unit cell a=5.5058 b=5.5058 c=5.5951 alpha=90.00 beta=90.00 gamma=90.00
Last column: nearest neighbours and their distance in Å.
Fractional positions:
Al 0.0000 0.0000 0.0000  4 I 2.75, 2 Sb 2.80
Sb 0.0000 0.0000 0.5000  2 Al 2.80
Pb 0.5000 0.5000 0.5000  4 Sb 3.89, 8 I 3.92
I 0.0000 0.5000 0.0000  2 Al 2.75
I 0.5000 0.0000 0.0000  2 Al 2.75

- energy above the lowest structure with this stoichiometry (meV per atom) = 0
- space group = No. 123
- uncorrected formation energy (eV/atom) = 0.112

---

VASP calculation (PBE-GGA) on crystalline ScAlPbI2 at its relaxed geometry.

Unit cell a=5.5072 b=5.5072 c=5.5771 alpha=90.00 beta=90.00 gamma=90.00
Last column: nearest neighbours and their distance in Å.
Fractional positions:
Sc 0.0000 0.0000 0.0000  4 Pb 3.89, 8 I 3.92
Al 0.5000 0.5000 0.5000  4 I 2.75, 2 Pb 2.79
Pb 0.5000 0.5000 0.0000  2 Al 2.79
I 0.0000 0.5000 0.5000  2 Al 2.75
I 0.5000 0.0000 0.5000  2 Al 2.75

- space group = No. 123
- uncorrected formation energy (eV/atom) = 0.307

---

VASP calculation (PBE-GGA) on crystalline AlTePbI2 at its relaxed geometry.

Unit cell a=6.2485 b=6.2485 c=5.8972 alpha=90.00 beta=90.00 gamma=90.00
Last column: nearest neighbours and their distance in Å.
Fractional positions:
Al 0.0000 0.0000 0.0000  8 I 4.30, 4 Te 4.42
Te 0.5000 0.5000 0.0000  2 Pb 2.95
Pb 0.5000 0.5000 0.5000  2 Te 2.95, 4 I 3.12
I 0.0000 0.5000 0.5000  2 Pb 3.12
I 0.5000 0.0000 0.5000  2 Pb 3.12

- energy above the lowest structure with this stoichiometry (meV per atom) = 278
- space group = No. 123
- uncorrected formation energy (eV/atom) = 0.176